1.
First-principles (SCAN) data for a crystal of MgAsBr2 relaxed with PBEsol, as listed in the Alexandria database.

Properties
The calculation puts the offset from the most stable computed form at 207 meV/atom.

a = 3.689 Å, b = 5.705 Å, c = 10.307 Å
α = 90.00°, β = 90.00°, γ = 90.00°
Space group Cmmm (No. 65)
Symmetry-distinct sites (fractional):
Mg (0.000, 0.000, 0.000)
As (0.000, 0.000, 0.500)
Br (0.000, 0.500, 0.169)

2.
First-principles (SCAN) data for a crystal of MgAsBr3 relaxed with PBEsol, as listed in the Alexandria database.

a = 5.149 Å, b = 5.149 Å, c = 5.149 Å
α = 90.00°, β = 90.00°, γ = 90.00°
Space group Pm-3m (No. 221)
Symmetry-distinct sites (fractional):
Mg (0.000, 0.000, 0.000)
As (0.500, 0.500, 0.500)
Br (0.000, 0.000, 0.500)

| no. | VASP energy (Ha/atom) | density (kg/m3) | uncorrected formation energy (meV per atom) |
| --- | --- | --- | --- |
| 1 | -0.6042 | 3966 | -420 |
| 2 | -0.6294 | 4122 | -417 |